[1]
Entry from the Alexandria database: a relaxed MgInGa2Ir crystal (PBE).

Output
**E**: -4.02 eV/atom
**Total magnetic moment**: 0.0 μB/f.u.

a b c (Å): 4.819 4.819 5.118
angles (deg): 90.00 90.00 90.00
Element x y z (fractional)
In 0.500 0.500 0.500
Ga 0.500 0.000 0.000
Ga 0.000 0.500 0.000
Ir 0.000 0.000 0.000
Mg 0.000 0.000 0.500

[2]
Entry from the Alexandria database: a relaxed Na4U3Te8Au crystal (PBE).

Output
**Total magnetic moment**: 7.0 μB/f.u.
**Energy relative to the elements, uncorrected**: -0.6751 eV/atom

a b c (Å): 8.710 9.137 8.872
angles (deg): 119.38 119.40 90.00
Site moments in Bohr magnetons follow the coordinates.
Element x y z (fractional)
Te 0.251 0.275 0.016  -0.07
Te 0.748 0.262 0.495  -0.07
Te 0.765 0.275 0.016  -0.07
Te 0.749 0.725 0.984  -0.07
Te 0.235 0.725 0.984  -0.07
Te 0.252 0.738 0.505  -0.07
Te 0.744 0.737 0.488  -0.06
Te 0.256 0.263 0.512  -0.06
Na 0.000 0.000 0.000  0.00
Na 0.000 0.000 0.500  0.00
Na 0.500 0.000 0.500  0.00
Na 0.500 0.000 0.000  0.00
Au 0.000 0.500 0.000  -0.05
U 0.500 0.500 0.500  2.43
U 0.000 0.500 0.500  2.43
U 0.500 0.500 0.000  2.45

[3]
Entry from the Alexandria database: a relaxed MgCoAs2 crystal (PBE).

Output
**E**: -4.21 eV/atom
**Total magnetic moment**: 1.0 μB/f.u.

a b c (Å): 4.528 4.528 4.528
angles (deg): 60.00 60.00 60.00
Site moments in Bohr magnetons follow the coordinates.
Element x y z (fractional)
As 0.250 0.250 0.250  0.00
As 0.000 0.000 0.000  0.05
Mg 0.750 0.750 0.750  0.00
Co 0.500 0.500 0.500  1.04

[4]
Entry from the Alexandria database: a relaxed LaCo2As crystal (PBE).

Output
**E**: -5.95 eV/atom
**Total magnetic moment**: 1.2 μB/f.u.

a b c (Å): 4.333 4.330 3.583
angles (deg): 90.00 90.00 90.00
Site moments in Bohr magnetons follow the coordinates.
Element x y z (fractional)
As 0.000 0.500 0.500  0.03
Co 0.500 0.500 0.000  0.68
Co 0.000 0.000 0.000  0.68
La 0.500 0.000 0.500  -0.12

> Look up the total magnetic moment of the first one.

0.0 μB/f.u.

> The highest total magnetic moment belongs to which entry?

Na4U3Te8Au

> Which of these has the lowest total magnetic moment?

MgInGa2Ir